(1)
Here is a relaxed CuAgN crystal from Alexandria. Energies are from PBE.

Cell: 2.815 3.964 10.207 Å, 106.33 97.84 90.06°
Sites, in units of the cell vectors:
N 0.524 0.954 0.548
N 0.476 0.046 0.452
Cu 0.264 0.270 0.028
Cu 0.736 0.730 0.972
Ag 0.355 0.900 0.210
Ag 0.645 0.100 0.790

Properties
Its symmetry is P-1. As for the crystal system: triclinic. As for the energy above the most stable polymorph in this dataset: 0.0 kJ/mol of formula units. Its formation energy without anion corrections is 0.353 eV per atom.

(2)
Here is a relaxed SrAc2Ir crystal from Alexandria. Energies are from PBE.

Cell: 4.379 4.379 10.809 Å, 78.31 78.31 60.00°
Sites, in units of the cell vectors:
Ir 0.000 0.000 0.000
Ac 0.717 0.717 0.850
Ac 0.283 0.283 0.150
Sr 0.500 0.500 0.500

Properties
Its symmetry is R-3m. As for the crystal system: trigonal. As for the energy above the most stable polymorph in this dataset: 1.2 kJ/mol of formula units. The formation energy comes out at -435.6 meV/atom.

(3)
Here is a relaxed Nd5Ag2Rh2 crystal from Alexandria. Energies are from PBE.

Cell: 7.832 7.710 8.868 Å, 115.77 90.00 90.00°
Sites, in units of the cell vectors:
Nd 0.828 0.545 0.749
Nd 0.172 0.455 0.251
Nd 0.172 0.204 0.749
Nd 0.000 0.000 0.000
Nd 0.828 0.796 0.251
Nd 0.328 0.955 0.251
Nd 0.328 0.704 0.749
Nd 0.672 0.045 0.749
Nd 0.672 0.296 0.251
Nd 0.500 0.500 0.000
Rh 0.632 0.867 0.000
Rh 0.368 0.133 0.000
Rh 0.132 0.633 0.000
Rh 0.868 0.367 0.000
Ag 0.500 0.712 0.424
Ag 0.500 0.288 0.576
Ag 0.000 0.212 0.424
Ag 0.000 0.788 0.576

Properties
Its symmetry is Cmce. As for the crystal system: orthorhombic. As for the energy above the most stable polymorph in this dataset: 0.0 kJ/mol of formula units. The formation energy comes out at -430.2 meV/atom.

| no. | magnetic moment (μB/f.u.) |
| --- | --- |
| 1 | 0.00 |
| 2 | 0.00 |
| 3 | 0.00 |